Record 1
First-principles (PBE) data for crystalline Mn2BeMo at its relaxed geometry, as listed in Alexandria.

Computed properties:
Formation enthalpy at 0 K: -3 meV/atom
Calculated volume: 11.4 Å³/atom

abc: 2.680 2.680 6.334
angles: 90.00 90.00 90.00
Space group P4mm (No. 99)
Symmetry-distinct sites (fractional):
Mn 0.000 0.000 0.000 (multiplicity 1)
Mn 0.500 0.500 0.204 (multiplicity 1)
Be 0.500 0.500 0.793 (multiplicity 1)
Mo 0.000 0.000 0.526 (multiplicity 1)

Record 2
First-principles (PBE) data for crystalline MnBeMo2 at its relaxed geometry, as listed in Alexandria.

Computed properties:
Formation enthalpy at 0 K: 118 meV/atom
Calculated volume: 13.0 Å³/atom

abc: 3.827 3.827 3.540
angles: 90.00 90.00 90.00
Space group P4/mmm (No. 123)
Symmetry-distinct sites (fractional):
Mn 0.000 0.000 0.000 (multiplicity 1)
Be 0.500 0.500 0.000 (multiplicity 1)
Mo 0.000 0.500 0.500 (multiplicity 2)

Record 3
First-principles (PBE) data for crystalline Mn4BeMo at its relaxed geometry, as listed in Alexandria.

Computed properties:
Formation enthalpy at 0 K: 89 meV/atom
Calculated volume: 11.7 Å³/atom

abc: 6.555 6.555 6.555
angles: 90.00 90.00 90.00
Space group F-43m (No. 216)
Symmetry-distinct sites (fractional):
Mn 0.124 0.124 0.376 (multiplicity 16)
Be 0.250 0.250 0.750 (multiplicity 4)
Mo 0.000 0.000 0.000 (multiplicity 4)

Record 4
First-principles (PBE) data for crystalline MnBeMo2 at its relaxed geometry, as listed in Alexandria.

Computed properties:
Formation enthalpy at 0 K: 145 meV/atom
Calculated volume: 13.3 Å³/atom

abc: 5.205 8.047 2.629
angles: 90.00 104.75 90.00
Space group C2/m (No. 12)
Symmetry-distinct sites (fractional):
Mn 0.000 0.000 0.000 (multiplicity 2)
Be 0.000 0.500 0.000 (multiplicity 2)
Mo 0.250 0.250 0.500 (multiplicity 4)

Record 5
First-principles (PBE) data for crystalline MnBe2Mo at its relaxed geometry, as listed in Alexandria.

Computed properties:
Excess energy over the best structure of this formula in the dataset: 0.52 eV per formula unit
Formation enthalpy at 0 K: 72 meV/atom
Calculated volume: 11.3 Å³/atom

abc: 4.122 4.122 2.667
angles: 90.00 90.00 90.00
Space group P4/mmm (No. 123)
Symmetry-distinct sites (fractional):
Mn 0.000 0.000 0.000 (multiplicity 1)
Be 0.000 0.500 0.500 (multiplicity 2)
Mo 0.500 0.500 0.000 (multiplicity 1)

Record 6
First-principles (PBE) data for crystalline MnBeMo2 at its relaxed geometry, as listed in Alexandria.

Computed properties:
Formation enthalpy at 0 K: 115 meV/atom
Calculated volume: 13.2 Å³/atom

abc: 2.644 3.908 5.259
angles: 90.00 103.32 90.00
Space group P2/m (No. 10)
Symmetry-distinct sites (fractional):
Mn 0.000 0.000 0.000 (multiplicity 1)
Be 0.000 0.000 0.500 (multiplicity 1)
Mo 0.494 0.500 0.255 (multiplicity 2)

Record 7
First-principles (PBE) data for crystalline MnBe2Mo at its relaxed geometry, as listed in Alexandria.

Computed properties:
Excess energy over the best structure of this formula in the dataset: 0.54 eV per formula unit
Formation enthalpy at 0 K: 76 meV/atom
Calculated volume: 11.0 Å³/atom

abc: 3.694 3.694 6.456
angles: 90.00 90.00 90.00
Space group I4/mmm (No. 139)
Symmetry-distinct sites (fractional):
Mn 0.000 0.000 0.000 (multiplicity 2)
Be 0.000 0.500 0.250 (multiplicity 4)
Mo 0.000 0.000 0.500 (multiplicity 2)

Record 8
First-principles (PBE) data for crystalline MnBe2Mo at its relaxed geometry, as listed in Alexandria.

Computed properties:
Excess energy over the best structure of this formula in the dataset: 2.33 eV per formula unit
Formation enthalpy at 0 K: 523 meV/atom
Calculated volume: 12.0 Å³/atom

abc: 3.393 3.393 16.700
angles: 90.00 90.00 90.00
Space group I-42d (No. 122)
Symmetry-distinct sites (fractional):
Mn 0.000 0.000 0.000 (multiplicity 4)
Be 0.223 0.250 0.125 (multiplicity 8)
Mo 0.000 0.000 0.500 (multiplicity 4)

Record 9
First-principles (PBE) data for crystalline Mn2BeMo at its relaxed geometry, as listed in Alexandria.

Computed properties:
Formation enthalpy at 0 K: 86 meV/atom
Calculated volume: 11.6 Å³/atom

abc: 2.975 3.996 7.788
angles: 90.00 90.00 90.00
Space group Immm (No. 71)
Symmetry-distinct sites (fractional):
Mn 0.000 0.000 0.248 (multiplicity 4)
Be 0.000 0.500 0.000 (multiplicity 2)
Mo 0.000 0.500 0.500 (multiplicity 2)

Record 10
First-principles (PBE) data for crystalline MnBeMo2 at its relaxed geometry, as listed in Alexandria.

Computed properties:
Formation enthalpy at 0 K: 98 meV/atom
Calculated volume: 13.3 Å³/atom

abc: 3.114 3.114 5.507
angles: 90.00 90.00 90.00
Space group P4mm (No. 99)
Symmetry-distinct sites (fractional):
Mn 0.000 0.000 0.000 (multiplicity 1)
Be 0.500 0.500 0.785 (multiplicity 1)
Mo 0.000 0.000 0.548 (multiplicity 1)
Mo 0.500 0.500 0.274 (multiplicity 1)

Record 11
First-principles (PBE) data for crystalline Mn2BeMo at its relaxed geometry, as listed in Alexandria.

Computed properties:
Formation enthalpy at 0 K: 306 meV/atom
Calculated volume: 12.1 Å³/atom

abc: 2.5908 2.5908 25.0711
angles: 90.00 90.00 120.00
Space group R-3m (No. 166, hexagonal axes)
Symmetry-distinct sites (fractional):
Mn 0.0000 0.0000 0.2416 (multiplicity 6)
Be 0.0000 0.0000 0.5000 (multiplicity 3)
Mo 0.0000 0.0000 0.0000 (multiplicity 3)

Record 12
First-principles (PBE) data for crystalline Mn2BeMo at its relaxed geometry, as listed in Alexandria.

Computed properties:
Formation enthalpy at 0 K: 26 meV/atom
Calculated volume: 11.8 Å³/atom

abc: 3.871 3.871 3.138
angles: 90.00 90.00 90.00
Space group P4/mmm (No. 123)
Symmetry-distinct sites (fractional):
Mn 0.000 0.500 0.000 (multiplicity 2)
Be 0.000 0.000 0.500 (multiplicity 1)
Mo 0.500 0.500 0.500 (multiplicity 1)

Record 13
First-principles (PBE) data for crystalline MnBeMo2 at its relaxed geometry, as listed in Alexandria.

Computed properties:
Formation enthalpy at 0 K: 167 meV/atom
Calculated volume: 13.1 Å³/atom

abc: 5.368 7.112 2.741
angles: 90.00 90.00 90.00
Space group Cmmm (No. 65)
Symmetry-distinct sites (fractional):
Mn 0.000 0.000 0.000 (multiplicity 2)
Be 0.000 0.500 0.000 (multiplicity 2)
Mo 0.250 0.250 0.500 (multiplicity 4)

Record 14
First-principles (PBE) data for crystalline MnBeMo2 at its relaxed geometry, as listed in Alexandria.

Computed properties:
Formation enthalpy at 0 K: 87 meV/atom
Calculated volume: 13.1 Å³/atom

abc: 3.341 4.154 7.530
angles: 90.00 90.00 90.00
Space group Cmm2 (No. 35)
Symmetry-distinct sites (fractional):
Mn 0.000 0.000 0.000 (multiplicity 2)
Be 0.000 0.500 0.801 (multiplicity 2)
Mo 0.000 0.000 0.566 (multiplicity 2)
Mo 0.000 0.500 0.262 (multiplicity 2)

Record 15
First-principles (PBE) data for crystalline MnBeMo2 at its relaxed geometry, as listed in Alexandria.

Computed properties:
Formation enthalpy at 0 K: 107 meV/atom
Calculated volume: 13.1 Å³/atom

abc: 3.372 4.106 7.569
angles: 90.00 90.00 90.00
Space group Cmmm (No. 65)
Symmetry-distinct sites (fractional):
Mn 0.000 0.000 0.000 (multiplicity 2)
Be 0.000 0.000 0.500 (multiplicity 2)
Mo 0.000 0.500 0.267 (multiplicity 4)